# 1
{
  "formula": "In3Te4",
  "functional": "GGA-PBE",
  "state": "relaxed",
  "magnetic_moment_mub_per_atom": 0.000,
  "crystal_system": "hexagonal",
  "e_tot_ev_per_atom": -2.8164,
  "e_form_raw_ev_per_atom": 0.152,
  "dos_at_fermi_per_ev_fu": 6.25,
  "lattice_angstrom": [[6.3360, 0.0000, 0.0000], [-3.1680, 5.4872, 0.0000], [0.0000, 0.0000, 6.1004]],
  "species": ["In", "In", "In", "Te", "Te", "Te", "Te"],
  "frac_coords": [[0.0000, 0.5000, 0.0000], [0.5000, 0.0000, 0.0000], [0.5000, 0.5000, 0.0000], [0.0000, 0.0000, 0.2689], [0.0000, 0.0000, 0.7311], [0.3333, 0.6667, 0.5000], [0.6667, 0.3333, 0.5000]]
}

=====

# 2
{
  "formula": "Pm4CuSiI2",
  "functional": "GGA-PBE",
  "state": "relaxed",
  "magnetic_moment_mub_per_atom": 0.000,
  "crystal_system": "monoclinic",
  "e_tot_ev_per_atom": -4.6555,
  "e_form_raw_ev_per_atom": -0.703,
  "dos_at_fermi_per_ev_fu": 6.83,
  "lattice_angstrom": [[7.5312, 0.0000, 0.0000], [0.0000, 4.1899, 0.0000], [-2.3226, 0.0000, 7.6239]],
  "species": ["Pm", "Pm", "Pm", "Pm", "Cu", "Si", "I", "I"],
  "frac_coords": [[0.2266, 0.0000, 0.1968], [0.2691, 0.5000, 0.7977], [0.7309, 0.5000, 0.2023], [0.7734, 0.0000, 0.8032], [0.0000, 0.5000, 0.0000], [0.5000, 0.0000, 0.0000], [0.0000, 0.0000, 0.5000], [0.5000, 0.5000, 0.5000]]
}

=====

# 3
{
  "formula": "Ho3SiSe6",
  "functional": "GGA-PBE",
  "state": "relaxed",
  "magnetic_moment_mub_per_atom": 0.000,
  "crystal_system": "orthorhombic",
  "e_tot_ev_per_atom": -5.3991,
  "e_form_raw_ev_per_atom": -1.393,
  "dos_at_fermi_per_ev_fu": 3.12,
  "lattice_angstrom": [[5.5637, -6.9081, 0.0000], [5.5637, 6.9081, 0.0000], [0.0000, 0.0000, 6.7741]],
  "species": ["Ho", "Ho", "Ho", "Ho", "Ho", "Ho", "Si", "Si", "Se", "Se", "Se", "Se", "Se", "Se", "Se", "Se", "Se", "Se", "Se", "Se"],
  "frac_coords": [[0.0960, 0.9040, 0.5000], [0.2201, 0.4143, 0.5954], [0.4143, 0.2201, 0.0954], [0.5857, 0.7799, 0.5954], [0.7799, 0.5857, 0.0954], [0.9040, 0.0960, 0.0000], [0.2970, 0.7030, 0.1396], [0.7030, 0.2970, 0.6396], [0.0652, 0.5996, 0.3141], [0.1281, 0.1964, 0.2975], [0.1964, 0.1281, 0.7975], [0.2838, 0.7162, 0.7775], [0.4004, 0.9348, 0.3141], [0.4588, 0.5412, 0.2775], [0.5412, 0.4588, 0.7775], [0.5996, 0.0652, 0.8141], [0.7162, 0.2838, 0.2775], [0.8036, 0.8719, 0.2975], [0.8719, 0.8036, 0.7975], [0.9348, 0.4004, 0.8141]]
}

=====

# 4
{
  "formula": "DyPuP2Pd2",
  "functional": "GGA-PBE",
  "state": "relaxed",
  "magnetic_moment_mub_per_atom": 0.862,
  "crystal_system": "trigonal",
  "e_tot_ev_per_atom": -7.7654,
  "e_form_ev_per_atom": -1.076,
  "dos_at_fermi_per_ev_fu": 10.56,
  "lattice_angstrom": [[4.1859, 0.0000, 0.0000], [-2.0929, 3.6251, 0.0000], [0.0000, 0.0000, 7.5655]],
  "species": ["Dy", "Pu", "P", "P", "Pd", "Pd"],
  "frac_coords": [[0.0000, 0.0000, 0.0000], [0.0000, 0.0000, 0.5000], [0.3333, 0.6667, 0.7444], [0.6667, 0.3333, 0.2556], [0.3333, 0.6667, 0.2381], [0.6667, 0.3333, 0.7619]]
}

=====

# 5
{
  "formula": "ScIr2Rh",
  "functional": "GGA-PBE",
  "state": "relaxed",
  "magnetic_moment_mub_per_atom": 0.000,
  "crystal_system": "tetragonal",
  "e_tot_ev_per_atom": -8.1675,
  "e_form_ev_per_atom": -0.316,
  "dos_at_fermi_per_ev_fu": 4.00,
  "lattice_angstrom": [[2.8240, 0.0000, 0.0000], [0.0000, 2.8240, 0.0000], [0.0000, 0.0000, 7.8136]],
  "species": ["Sc", "Ir", "Ir", "Rh"],
  "frac_coords": [[0.0000, 0.0000, 0.0000], [0.0000, 0.0000, 0.5014], [0.5000, 0.5000, 0.2655], [0.5000, 0.5000, 0.7406]]
}

=====

# 6
{
  "formula": "Rb2Ba2Tl15",
  "functional": "GGA-PBE",
  "state": "relaxed",
  "magnetic_moment_mub_per_atom": 0.000,
  "crystal_system": "trigonal",
  "e_tot_ev_per_atom": -2.2612,
  "e_form_ev_per_atom": -0.089,
  "dos_at_fermi_per_ev_fu": 13.09,
  "lattice_angstrom": [[5.8714, 3.3898, 5.6710], [-5.8714, 3.3898, 5.6710], [0.0000, -6.7797, 5.6710]],
  "species": ["Rb", "Rb", "Ba", "Ba", "Tl", "Tl", "Tl", "Tl", "Tl", "Tl", "Tl", "Tl", "Tl", "Tl", "Tl", "Tl", "Tl", "Tl", "Tl"],
  "frac_coords": [[0.1438, 0.1438, 0.1438], [0.8562, 0.8562, 0.8562], [0.3906, 0.3906, 0.3906], [0.6094, 0.6094, 0.6094], [0.0000, 0.5000, 0.5000], [0.1393, 0.1393, 0.6520], [0.1393, 0.6520, 0.1393], [0.2054, 0.5000, 0.7946], [0.2054, 0.7946, 0.5000], [0.3480, 0.8607, 0.8607], [0.5000, 0.0000, 0.5000], [0.5000, 0.2054, 0.7946], [0.5000, 0.5000, 0.0000], [0.5000, 0.7946, 0.2054], [0.6520, 0.1393, 0.1393], [0.7946, 0.2054, 0.5000], [0.7946, 0.5000, 0.2054], [0.8607, 0.3480, 0.8607], [0.8607, 0.8607, 0.3480]]
}